A plane-wave DFT calculation with PBE-GGA was carried out for a geometry-optimized ErTmSc2S6 structure.

a b c (Å): 7.0959 7.0959 7.0959
angles (deg): 55.92 55.92 55.92
Sites, in units of the cell vectors:
Er  0.0000  0.0000  0.0000
Tm  0.4992  0.4992  0.4992
Sc  0.3018  0.3018  0.3018
Sc  0.8022  0.8022  0.8022
S  0.0814  0.6877  0.4200
S  0.1900  0.5811  0.9178
S  0.4200  0.0814  0.6877
S  0.5811  0.9178  0.1900
S  0.6877  0.4200  0.0814
S  0.9178  0.1900  0.5811

Its space group is R3 (146). As for the crystal system: trigonal. The total energy comes out at -66.11 eV per cell.

=====

A plane-wave DFT calculation with PBE-GGA was carried out for a geometry-optimized TlSn3P structure.

a b c (Å): 5.3284 5.3284 5.3284
angles (deg): 90.00 90.00 90.00
Sites, in units of the cell vectors:
Tl  0.0000  0.0000  0.0000
Sn  0.0000  0.5000  0.5000
Sn  0.5000  0.0000  0.5000
Sn  0.5000  0.5000  0.0000
P  0.5000  0.5000  0.5000

Its space group is Pm-3m (221). As for the crystal system: cubic. The formation enthalpy at 0 K is 0.340 eV/atom.

=====

A plane-wave DFT calculation with PBE-GGA was carried out for a geometry-optimized KTa2Ru2 structure.

a b c (Å): 6.6290 6.6290 6.6290
angles (deg): 141.48 141.48 55.61
Sites, in units of the cell vectors:
K  0.0000  0.0000  0.0000
Ta  0.3603  0.3603  0.0000
Ta  0.6397  0.6397  0.0000
Ru  0.2500  0.7500  0.5000
Ru  0.7500  0.2500  0.5000

Its space group is I4/mmm (139). As for the crystal system: tetragonal. The formation enthalpy at 0 K is 0.558 eV/atom.

=====

A plane-wave DFT calculation with PBE-GGA was carried out for a geometry-optimized Mn3CuHg structure.

a b c (Å): 4.5961 4.5961 4.5961
angles (deg): 90.00 90.00 90.00
Sites, in units of the cell vectors:
Mn  0.0000  0.0000  0.5000
Mn  0.0000  0.5000  0.0000
Mn  0.5000  0.0000  0.0000
Cu  0.0000  0.0000  0.0000
Hg  0.5000  0.5000  0.5000

Its space group is Pm-3m (221). As for the crystal system: cubic. The formation enthalpy at 0 K is 0.833 eV/atom.

=====

A plane-wave DFT calculation with PBE-GGA was carried out for a geometry-optimized EuCuNi structure.

a b c (Å): 4.1476 4.1476 3.9747
angles (deg): 90.00 90.00 120.00
Sites, in units of the cell vectors:
Eu  0.0000  0.0000  0.0000
Cu  0.3333  0.6667  0.5000
Ni  0.6667  0.3333  0.5000

Its space group is P-6m2 (187). As for the crystal system: hexagonal. The formation enthalpy at 0 K is -0.098 eV/atom.

=====

A plane-wave DFT calculation with PBE-GGA was carried out for a geometry-optimized CaMnCo structure.

a b c (Å): 3.5855 4.3394 8.7612
angles (deg): 81.74 89.91 65.63
Sites, in units of the cell vectors:
Ca  0.0000  0.0000  0.0000
Ca  0.3529  0.2997  0.3715
Mn  0.0912  0.8212  0.5885
Mn  0.5305  0.9415  0.7103
Co  0.2665  0.4690  0.8162
Co  0.8212  0.3606  0.6537

Its space group is P1 (1). As for the crystal system: triclinic. The formation enthalpy at 0 K is 0.347 eV/atom.

=====

DOS(E_F) for every record listed, in sequence, given in states/eV/f.u.: 0.00, 2.92, 5.02, 5.14, 12.86, 4.16.